Here is Y2TlTc at its PBEsol-relaxed geometry from Alexandria. Energies are from meta-GGA SCAN.

Lattice parameters (Å, degrees): 3.5160 4.9103 10.6318 90.00 90.00 90.00
Last column: nearest neighbours and their distance in Å.
Space group Imm2 (No. 44)
Symmetry-distinct sites (fractional):
Y (0.0000, 0.0000, 0.0000) [2 per cell]  2 Tc 2.92, 4 Tl 3.12
Y (0.0000, 0.5000, 0.2085) [2 per cell]  4 Tc 3.02, 2 Y 3.31, 2 Tl 3.37
Tl (0.0000, 0.0000, 0.4252) [2 per cell]  2 Tc 2.81, 4 Y 3.12
Tc (0.0000, 0.5000, 0.7192) [2 per cell]  2 Tl 2.81, 6 Y 2.92-3.02

Properties
- Crystal system: orthorhombic
- Formation energy: -0.079 eV per atom
- Electronic total energy: -40.85 eV/atom
- Mass density: 8.7 g/cm3